(1)
Entry from Alexandria: an optimized crystal structure of Ta3V2H4 (PBE).

Unit cell a=9.415 b=2.733 c=7.514 alpha=90.00 beta=109.17 gamma=90.00
Space group C2/m (No. 12)
Unique sites:
Ta: 0.000 0.000 0.000 (multiplicity 2)
Ta: 0.106 0.500 0.391 (multiplicity 4)
V: 0.197 0.500 0.804 (multiplicity 4)
H: 0.104 0.000 0.618 (multiplicity 4)
H: 0.169 0.500 0.051 (multiplicity 4)

- ρ: 11.80 g/cm3
- Calculated total energy: -133.797 eV/cell

---

(2)
Entry from Alexandria: an optimized crystal structure of Ta2VHW (PBE).

Unit cell a=4.486 b=4.486 c=3.382 alpha=90.00 beta=90.00 gamma=90.00
Space group P4/mmm (No. 123)
Unique sites:
Ta: 0.000 0.500 0.000 (multiplicity 2)
V: 0.000 0.000 0.500 (multiplicity 1)
H: 0.000 0.000 0.000 (multiplicity 1)
W: 0.500 0.500 0.500 (multiplicity 1)

- Energy above the lowest structure with this stoichiometry: 0 meV per atom
- ρ: 14.58 g/cm3

---

(3)
Entry from Alexandria: an optimized crystal structure of Ta2VHW (PBE).

Unit cell a=4.890 b=4.890 c=3.147 alpha=90.00 beta=90.00 gamma=90.00
Space group P4/mmm (No. 123)
Unique sites:
Ta: 0.000 0.500 0.000 (multiplicity 2)
V: 0.000 0.000 0.000 (multiplicity 1)
H: 0.000 0.000 0.500 (multiplicity 1)
W: 0.500 0.500 0.500 (multiplicity 1)

- Energy above the lowest structure with this stoichiometry: 933 meV per atom
- ρ: 13.19 g/cm3

---

(4)
Entry from Alexandria: an optimized crystal structure of Ta2VZnH (PBE).

Unit cell a=4.277 b=4.277 c=3.605 alpha=90.00 beta=90.00 gamma=90.00
Space group P4/mmm (No. 123)
Unique sites:
Ta: 0.000 0.500 0.000 (multiplicity 2)
V: 0.000 0.000 0.500 (multiplicity 1)
Zn: 0.500 0.500 0.500 (multiplicity 1)
H: 0.000 0.000 0.000 (multiplicity 1)

- ρ: 12.07 g/cm3
- Calculated total energy: -37.526 eV/cell

---

(5)
Entry from Alexandria: an optimized crystal structure of Zr2TaVH (PBE).

Unit cell a=4.727 b=4.727 c=3.570 alpha=90.00 beta=90.00 gamma=90.00
Space group P4/mmm (No. 123)
Unique sites:
Zr: 0.000 0.500 0.000 (multiplicity 2)
Ta: 0.000 0.000 0.500 (multiplicity 1)
V: 0.500 0.500 0.500 (multiplicity 1)
H: 0.500 0.500 0.000 (multiplicity 1)

- ρ: 8.65 g/cm3
- Calculated total energy: -41.206 eV/cell

---

(6)
Entry from Alexandria: an optimized crystal structure of Ta3HW (PBE).

Unit cell a=4.203 b=4.203 c=4.203 alpha=90.00 beta=90.00 gamma=90.00
Space group Pm-3m (No. 221)
Unique sites:
Ta: 0.000 0.000 0.500 (multiplicity 3)
H: 0.000 0.000 0.000 (multiplicity 1)
W: 0.500 0.500 0.500 (multiplicity 1)

- Energy above the lowest structure with this stoichiometry: 0 meV per atom
- ρ: 16.28 g/cm3

---

(7)
Entry from Alexandria: an optimized crystal structure of TaHW2 (PBE).

Unit cell a=6.208 b=6.208 c=6.208 alpha=90.00 beta=90.00 gamma=90.00
Space group Fm-3m (No. 225)
Unique sites:
Ta: 0.000 0.000 0.000 (multiplicity 4)
H: 0.000 0.000 0.500 (multiplicity 4)
W: 0.250 0.250 0.250 (multiplicity 8)

- Energy above the lowest structure with this stoichiometry: 644 meV per atom
- ρ: 15.26 g/cm3

---

(8)
Entry from Alexandria: an optimized crystal structure of Ta2H2W (PBE).

Unit cell a=3.165 b=3.165 c=6.147 alpha=90.00 beta=90.00 gamma=90.00
Space group P4/mmm (No. 123)
Unique sites:
Ta: 0.000 0.000 0.238 (multiplicity 2)
H: 0.000 0.500 0.000 (multiplicity 2)
W: 0.500 0.500 0.500 (multiplicity 1)

- ρ: 14.77 g/cm3
- Calculated total energy: -43.047 eV/cell

---

(9)
Entry from Alexandria: an optimized crystal structure of TaHW2 (PBE).

Unit cell a=7.739 b=7.739 c=7.739 alpha=90.00 beta=90.00 gamma=90.00
Space group Fd-3m (No. 227, origin choice 2)
Unique sites:
Ta: 0.125 0.125 0.125 (multiplicity 8)
H: 0.125 0.125 0.625 (multiplicity 8)
W: 0.000 0.000 0.500 (multiplicity 16)

- Energy above the lowest structure with this stoichiometry: 0 meV per atom
- ρ: 15.75 g/cm3

---

(10)
Entry from Alexandria: an optimized crystal structure of Ta2HW (PBE).

Unit cell a=6.280 b=6.280 c=6.280 alpha=90.00 beta=90.00 gamma=90.00
Space group Fm-3m (No. 225)
Unique sites:
Ta: 0.250 0.250 0.250 (multiplicity 8)
H: 0.000 0.000 0.000 (multiplicity 4)
W: 0.000 0.000 0.500 (multiplicity 4)

- Energy above the lowest structure with this stoichiometry: 272 meV per atom
- ρ: 14.67 g/cm3

---

(11)
Entry from Alexandria: an optimized crystal structure of Ta2HW (PBE).

Unit cell a=2.8699 b=2.8699 c=24.3532 alpha=90.00 beta=90.00 gamma=120.00
Space group R-3m (No. 166, hexagonal axes)
Unique sites:
Ta: 0.0000 0.0000 0.1100 (multiplicity 6)
H: 0.0000 0.0000 0.5000 (multiplicity 3)
W: 0.0000 0.0000 0.0000 (multiplicity 3)

- Energy above the lowest structure with this stoichiometry: 0 meV per atom
- ρ: 15.68 g/cm3

---

(12)
Entry from Alexandria: an optimized crystal structure of TaH2W4 (PBE).

Unit cell a=4.754 b=4.754 c=9.461 alpha=90.00 beta=90.00 gamma=90.00
Space group I4/mmm (No. 139)
Unique sites:
Ta: 0.000 0.000 0.000 (multiplicity 2)
H: 0.000 0.000 0.444 (multiplicity 4)
W: 0.000 0.000 0.267 (multiplicity 4)
W: 0.000 0.500 0.000 (multiplicity 4)

- ρ: 14.27 g/cm3
- Calculated total energy: -115.087 eV/cell